(1)
This record from Alexandria describes a PBEsol-optimized structure of RbCaAg3. The functional is meta-GGA SCAN.

Cell lengths 5.6418, 5.6418, 5.6418 Å; angles 90.00, 90.00, 90.00 degrees
Closest atoms and distances in Å follow each position.
Positions (direct):
Rb1 0.0000 0.0000 0.0000  12 Ag 3.99
Ca1 0.5000 0.5000 0.5000  6 Ag 2.82
Ag1 0.0000 0.5000 0.5000  2 Ca 2.82
Ag2 0.5000 0.0000 0.5000  2 Ca 2.82
Ag3 0.5000 0.5000 0.0000  2 Ca 2.82

Output
The total energy is -24.541 eV/atom. The calculation puts the calculated volume at 179.6 Å³/cell. The space group is Pm-3m, No. 221. Its formation energy is 0.360 eV per atom. As for the density of states at the Fermi level: 0.51 states/eV/f.u.

=====

(2)
This record from Alexandria describes a PBEsol-optimized structure of BeCu2Si. The functional is meta-GGA SCAN.

Cell lengths 3.5512, 3.5512, 3.4623 Å; angles 90.00, 90.00, 90.00 degrees
Closest atoms and distances in Å follow each position.
Positions (direct):
Be1 0.0000 0.0000 0.0000  8 Cu 2.48, 4 Si 2.51
Cu1 0.0000 0.5000 0.5000  4 Be 2.48, 4 Si 2.48, 4 Cu 2.51
Cu2 0.5000 0.0000 0.5000  4 Be 2.48, 4 Si 2.48, 4 Cu 2.51
Si1 0.5000 0.5000 0.0000  8 Cu 2.48, 4 Be 2.51

Output
The total energy is -11.218 eV/atom. The calculation puts the calculated volume at 43.7 Å³/cell. The space group is P4/mmm, No. 123. As for the density of states at the Fermi level: 0.89 states/eV/f.u. Its uncorrected formation energy is -26.1 meV per atom.

=====

(3)
This record from Alexandria describes a PBEsol-optimized structure of MgBeNi. The functional is meta-GGA SCAN.

Cell lengths 5.6216, 5.6216, 5.6216 Å; angles 90.00, 90.00, 90.00 degrees
Closest atoms and distances in Å follow each position.
Positions (direct):
Mg1 0.0000 0.0000 0.0000  4 Ni 2.43, 4 Be 2.43
Mg2 0.0000 0.5000 0.5000  4 Ni 2.43, 4 Be 2.43
Mg3 0.5000 0.0000 0.5000  4 Ni 2.43, 4 Be 2.43
Mg4 0.5000 0.5000 0.0000  4 Ni 2.43, 4 Be 2.43
Be1 0.2500 0.2500 0.2500  4 Mg 2.43
Be2 0.2500 0.7500 0.7500  4 Mg 2.43
Be3 0.7500 0.2500 0.7500  4 Mg 2.43
Be4 0.7500 0.7500 0.2500  4 Mg 2.43
Ni1 0.2500 0.2500 0.7500  4 Mg 2.43
Ni2 0.2500 0.7500 0.2500  4 Mg 2.43
Ni3 0.7500 0.2500 0.2500  4 Mg 2.43
Ni4 0.7500 0.7500 0.7500  4 Mg 2.43

Output
The total energy is -7.722 eV/atom. The calculation puts the calculated volume at 177.7 Å³/cell. The space group is F-43m, No. 216. Its formation energy is 0.778 eV per atom. As for the density of states at the Fermi level: 1.36 states/eV/f.u.

=====

(4)
This record from Alexandria describes a PBEsol-optimized structure of TeSe2BrO. The functional is meta-GGA SCAN.

Cell lengths 4.1642, 4.1642, 5.8891 Å; angles 90.00, 90.00, 90.00 degrees
Closest atoms and distances in Å follow each position.
Positions (direct):
Te1 0.0000 0.0000 0.0000  4 Br 2.94
Se1 0.0000 0.5000 0.5000  2 O 2.08
Se2 0.5000 0.0000 0.5000  2 O 2.08
Br1 0.5000 0.5000 0.0000  2 O 2.94, 4 Te 2.94
O1 0.5000 0.5000 0.5000  4 Se 2.08

Output
The total energy is -20.245 eV/atom. The calculation puts the calculated volume at 102.1 Å³/cell. The space group is P4/mmm, No. 123. As for the density of states at the Fermi level: 2.74 states/eV/f.u. Its uncorrected formation energy is 375.1 meV per atom.